Record 1
# Fe4AgOs | the Alexandria database | PBE | optimized geometry
data_Fe4AgOs
_chemical_formula_sum 'Fe16 Ag4 Os4'
_space_group_name_H-M_alt 'F -4 3 m'
_space_group_IT_number 216
_space_group_name_Hall 'F -4 2 3'
_cell_length_a 6.744
_cell_length_b 6.744
_cell_length_c 6.744
_cell_angle_alpha 90.00
_cell_angle_beta 90.00
_cell_angle_gamma 90.00
loop_
_atom_site_label
_atom_site_fract_x
_atom_site_fract_y
_atom_site_fract_z
Fe1 0.125 0.125 0.125
Ag1 0.250 0.250 0.750
Os1 0.000 0.000 0.500
# N(E_F) = 7.55 states/eV/f.u.
# Total energy = -0.5627 Ry/atom
# Size of the total moment = 8.9 μB per formula unit
# DFT formation energy = 2.00 eV/f.u.

Record 2
# Fe2AgOs | the Alexandria database | PBE | optimized geometry
data_Fe2AgOs
_chemical_formula_sum 'Fe2 Ag1 Os1'
_space_group_name_H-M_alt 'P m m 2'
_space_group_IT_number 25
_cell_length_a 2.697
_cell_length_b 3.631
_cell_length_c 5.693
_cell_angle_alpha 90.00
_cell_angle_beta 90.00
_cell_angle_gamma 90.00
loop_
_space_group_symop_operation_xyz
'x,y,z'
'-x,-y,z'
'-x,y,z'
'x,-y,z'
loop_
_atom_site_label
_atom_site_fract_x
_atom_site_fract_y
_atom_site_fract_z
Fe1 0.000 0.000 0.000
Fe2 0.500 0.500 0.234
Ag1 0.500 0.500 0.734
Os1 0.000 0.000 0.427
# N(E_F) = 2.52 states/eV/f.u.
# Total energy = -0.5391 Ry/atom
# Size of the total moment = 4.1 μB per formula unit
# DFT formation energy = 1.67 eV/f.u.

Record 3
# FeAgOs4 | the Alexandria database | PBE | optimized geometry
data_FeAgOs4
_chemical_formula_sum 'Fe4 Ag4 Os16'
_space_group_name_H-M_alt 'F -4 3 m'
_space_group_IT_number 216
_space_group_name_Hall 'F -4 2 3'
_cell_length_a 7.286
_cell_length_b 7.286
_cell_length_c 7.286
_cell_angle_alpha 90.00
_cell_angle_beta 90.00
_cell_angle_gamma 90.00
loop_
_atom_site_label
_atom_site_fract_x
_atom_site_fract_y
_atom_site_fract_z
Fe1 0.000 0.000 0.000
Ag1 0.250 0.250 0.750
Os1 0.125 0.125 0.375
# N(E_F) = 7.35 states/eV/f.u.
# Total energy = -0.6257 Ry/atom
# Size of the total moment = 3.2 μB per formula unit
# DFT formation energy = 5.16 eV/f.u.

Record 4
# Fe2AgOs | the Alexandria database | PBE | optimized geometry
data_Fe2AgOs
_chemical_formula_sum 'Fe2 Ag1 Os1'
_space_group_name_H-M_alt 'P 4/m m m'
_space_group_IT_number 123
_space_group_name_Hall '-P 4 2'
_cell_length_a 2.690
_cell_length_b 2.690
_cell_length_c 7.691
_cell_angle_alpha 90.00
_cell_angle_beta 90.00
_cell_angle_gamma 90.00
loop_
_atom_site_label
_atom_site_fract_x
_atom_site_fract_y
_atom_site_fract_z
Fe1 0.000 0.000 0.230
Ag1 0.500 0.500 0.500
Os1 0.500 0.500 0.000
# N(E_F) = 4.31 states/eV/f.u.
# Total energy = -0.5467 Ry/atom
# Size of the total moment = 4.2 μB per formula unit
# DFT formation energy = 1.25 eV/f.u.

Record 5
# Fe2AgOs | the Alexandria database | PBE | optimized geometry
data_Fe2AgOs
_chemical_formula_sum 'Fe4 Ag2 Os2'
_space_group_name_H-M_alt 'C 1 m 1'
_space_group_IT_number 8
_cell_length_a 9.018
_cell_length_b 2.709
_cell_length_c 4.646
_cell_angle_alpha 90.00
_cell_angle_beta 103.78
_cell_angle_gamma 90.00
loop_
_space_group_symop_operation_xyz
'x,y,z'
'x,-y,z'
'x+1/2,y+1/2,z'
'x+1/2,-y+1/2,z'
loop_
_atom_site_label
_atom_site_fract_x
_atom_site_fract_y
_atom_site_fract_z
Fe1 0.000 0.000 0.000
Fe2 0.228 0.500 0.267
Ag1 0.240 0.000 0.772
Os1 0.472 0.000 0.456
# N(E_F) = 3.55 states/eV/f.u.
# Total energy = -0.5392 Ry/atom
# Size of the total moment = 4.6 μB per formula unit
# DFT formation energy = 1.66 eV/f.u.

Record 6
# FeAgPOs2 | the Alexandria database | PBE | optimized geometry
data_FeAgPOs2
_chemical_formula_sum 'Fe1 Ag1 P1 Os2'
_space_group_name_H-M_alt 'P 4/m m m'
_space_group_IT_number 123
_space_group_name_Hall '-P 4 2'
_cell_length_a 4.911
_cell_length_b 4.911
_cell_length_c 4.313
_cell_angle_alpha 90.00
_cell_angle_beta 90.00
_cell_angle_gamma 90.00
loop_
_atom_site_label
_atom_site_fract_x
_atom_site_fract_y
_atom_site_fract_z
Fe1 0.000 0.000 0.000
Ag1 0.500 0.500 0.500
P1 0.500 0.500 0.000
Os1 0.000 0.500 0.500
# N(E_F) = 10.84 states/eV/f.u.
# Total energy = -0.3542 Ry/atom
# Size of the total moment = 3.3 μB per formula unit
# DFT formation energy = 15.08 eV/f.u.